# TaFeCoRu2 | Alexandria | PBE-GGA | optimized geometry
data_TaFeCoRu2
_cell_length_a 4.648
_cell_length_b 4.648
_cell_length_c 4.401
_cell_angle_alpha 90.00
_cell_angle_beta 90.00
_cell_angle_gamma 90.00
_symmetry_space_group_name_H-M 'P 1'
_symmetry_Int_Tables_number 1
loop_
_symmetry_equiv_pos_as_xyz
'x,y,z'
loop_
_atom_site_label
_atom_site_fract_x
_atom_site_fract_y
_atom_site_fract_z
_atom_site_occupancy
Ta1 0.000 0.000 0.000 1
Fe1 0.500 0.500 0.500 1
Co1 0.000 0.000 0.500 1
Ru1 0.000 0.500 0.000 1
Ru2 0.500 0.000 0.000 1
# Final energy = -36.238 eV for the cell shown
# ΔH_f (0 K) = 1.9469 eV/atom
# Fermi-level density of states = 10.82 states/eV/f.u.



# PmPrHo2Er5 | Alexandria | PBE-GGA | optimized geometry
data_PmPrHo2Er5
_cell_length_a 9.725
_cell_length_b 9.725
_cell_length_c 9.725
_cell_angle_alpha 126.17
_cell_angle_beta 126.17
_cell_angle_gamma 79.60
_symmetry_space_group_name_H-M 'P 1'
_symmetry_Int_Tables_number 1
loop_
_symmetry_equiv_pos_as_xyz
'x,y,z'
loop_
_atom_site_label
_atom_site_fract_x
_atom_site_fract_y
_atom_site_fract_z
_atom_site_occupancy
Pm1 0.250 0.250 0.000 1
Pm2 0.750 0.750 0.000 1
Pr1 0.250 0.750 0.500 1
Pr2 0.750 0.250 0.500 1
Ho1 0.115 0.615 0.730 1
Ho2 0.385 0.115 0.500 1
Ho3 0.615 0.885 0.500 1
Ho4 0.885 0.385 0.270 1
Er1 0.000 0.000 0.000 1
Er2 0.071 0.165 0.500 1
Er3 0.165 0.665 0.094 1
Er4 0.335 0.429 0.500 1
Er5 0.429 0.929 0.094 1
Er6 0.500 0.500 0.000 1
Er7 0.571 0.071 0.906 1
Er8 0.665 0.571 0.500 1
Er9 0.835 0.335 0.906 1
Er10 0.929 0.835 0.500 1
# Final energy = -77.928 eV for the cell shown
# ΔH_f (0 K) = 0.2817 eV/atom
# Fermi-level density of states = 11.18 states/eV/f.u.



# Ca2AlZn | Alexandria | PBE-GGA | optimized geometry
data_Ca2AlZn
_cell_length_a 6.741
_cell_length_b 6.741
_cell_length_c 6.741
_cell_angle_alpha 104.34
_cell_angle_beta 104.34
_cell_angle_gamma 120.30
_symmetry_space_group_name_H-M 'P 1'
_symmetry_Int_Tables_number 1
loop_
_symmetry_equiv_pos_as_xyz
'x,y,z'
loop_
_atom_site_label
_atom_site_fract_x
_atom_site_fract_y
_atom_site_fract_z
_atom_site_occupancy
Ca1 0.111 0.625 0.986 1
Ca2 0.375 0.361 0.486 1
Ca3 0.639 0.125 0.014 1
Ca4 0.875 0.889 0.514 1
Al1 0.250 0.750 0.500 1
Al2 0.500 0.500 0.000 1
Zn1 0.000 0.000 0.000 1
Zn2 0.750 0.250 0.500 1
# Final energy = -16.949 eV for the cell shown
# ΔH_f (0 K) = 0.1363 eV/atom
# Fermi-level density of states = 4.29 states/eV/f.u.